No. 1
Cs3NpI8 after structural relaxation. Source: Alexandria, functional PBE.

The structure belongs to space group I4/mmm (No. 139); the cell edges are 8.695, 8.695 and 17.140 Å and the angles 90.00°, 90.00° and 90.00°. Symmetry generates all atoms from Cs at (0.000, 0.000, 0.000), Cs at (0.000, 0.500, 0.250), Np at (0.000, 0.000, 0.500) and I at (0.214, 0.214, 0.392).

The volume is 53.99 Å³ per atom. For the formation energy (no corrections), the calculation gives -1.00 eV per atom. As for the crystal system: tetragonal.

No. 2
Cs3Np2I9 after structural relaxation. Source: Alexandria, functional PBE.

The structure belongs to space group R-3c (No. 167, hexagonal axes); the cell edges are 14.9974, 14.9974 and 21.7650 Å and the angles 90.00°, 90.00° and 120.00°. Symmetry generates all atoms from Cs at (0.0000, 0.3406, 0.2500), Np at (0.0000, 0.0000, 0.1554), I at (0.0000, 0.1604, 0.7500) and I at (0.0081, 0.1804, 0.4130).

The volume is 50.47 Å³ per atom. For the formation energy (no corrections), the calculation gives -1.18 eV per atom. As for the crystal system: trigonal.

No. 3
Cs4NpI6 after structural relaxation. Source: Alexandria, functional PBE.

The structure belongs to space group P4/mnc (No. 128); the cell edges are 10.478, 10.478 and 11.040 Å and the angles 90.00°, 90.00° and 90.00°. Symmetry generates all atoms from Cs at (0.168, 0.332, 0.250), Np at (0.000, 0.000, 0.000), I at (0.000, 0.000, 0.289) and I at (0.098, 0.703, 0.000).

The volume is 55.09 Å³ per atom. For the formation energy (no corrections), the calculation gives -1.25 eV per atom. As for the crystal system: tetragonal.

No. 4
Cs2Np2I7 after structural relaxation. Source: Alexandria, functional PBE.

The structure belongs to space group C2/m (No. 12); the cell edges are 13.734, 9.800 and 8.449 Å and the angles 90.00°, 98.01° and 90.00°. Symmetry generates all atoms from Cs at (0.000, 0.224, 0.000), Np at (0.241, 0.000, 0.534), I at (0.000, 0.000, 0.500), I at (0.050, 0.500, 0.289) and I at (0.228, 0.281, 0.736).

The volume is 51.18 Å³ per atom. For the formation energy (no corrections), the calculation gives -1.00 eV per atom. As for the crystal system: monoclinic.

No. 5
CsNpI6 after structural relaxation. Source: Alexandria, functional PBE.

The structure belongs to space group P-31c (No. 163); the cell edges are 8.2253, 8.2253 and 15.0040 Å and the angles 90.00°, 90.00° and 120.00°. Symmetry generates all atoms from Cs at (0.3333, 0.6667, 0.2500), Np at (0.0000, 0.0000, 0.0000) and I at (0.0801, 0.3242, 0.6122).

The volume is 54.94 Å³ per atom. The polymorph energy (0 for the lowest one) is 5 meV per atom. For the formation energy (no corrections), the calculation gives -0.88 eV per atom. As for the crystal system: trigonal.

No. 6
CsNpI4 after structural relaxation. Source: Alexandria, functional PBE.

The structure belongs to space group C2/c (No. 15); the cell edges are 11.455, 17.203 and 7.976 Å and the angles 90.00°, 122.73° and 90.00°. Symmetry generates all atoms from Cs at (0.000, 0.147, 0.250), Np at (0.000, 0.424, 0.750), I at (0.159, 0.298, 0.690) and I at (0.196, 0.454, 0.211).

The volume is 55.10 Å³ per atom. The polymorph energy (0 for the lowest one) is 0 meV per atom. For the formation energy (no corrections), the calculation gives -1.09 eV per atom. As for the crystal system: monoclinic.

No. 7
Cs3NpI6 after structural relaxation. Source: Alexandria, functional PBE.

The structure belongs to space group P2_1/c (No. 14); the cell edges are 9.027, 9.713 and 15.488 Å and the angles 90.00°, 123.08° and 90.00°. Symmetry generates all atoms from Cs at (0.000, 0.000, 0.000), Cs at (0.211, 0.076, 0.741), Np at (0.500, 0.000, 0.500), I at (0.169, 0.172, 0.450), I at (0.263, 0.734, 0.425) and I at (0.397, 0.052, 0.275).

The volume is 56.90 Å³ per atom. The polymorph energy (0 for the lowest one) is 0 meV per atom. For the formation energy (no corrections), the calculation gives -1.30 eV per atom. As for the crystal system: monoclinic.

No. 8
CsNpI6 after structural relaxation. Source: Alexandria, functional PBE.

The structure belongs to space group R-3m (No. 166, hexagonal axes); the cell edges are 11.7687, 11.7687 and 10.3468 Å and the angles 90.00°, 90.00° and 120.00°. Symmetry generates all atoms from Cs at (0.0000, 0.0000, 0.0000), Np at (0.0000, 0.0000, 0.5000) and I at (0.0987, 0.5494, 0.3308).

The volume is 51.71 Å³ per atom. The polymorph energy (0 for the lowest one) is 0 meV per atom. For the formation energy (no corrections), the calculation gives -0.88 eV per atom. As for the crystal system: trigonal.